VASP calculation (PBE+U) on a relaxed structure of Fe7As6O24.

Calculated values
Crystal system: triclinic
Volume: 475 Å³ per cell
Final energy: -236.2 eV/cell

Cell: 6.698 8.235 9.823 Å, 104.75 107.83 101.79°
Space group P-1 (No. 2)
Inequivalent atoms, fractional coordinates:
Fe 0.000 0.000 0.000 x1
Fe 0.045 0.720 0.525 x2
Fe 0.278 0.803 0.288 x2
Fe 0.381 0.454 0.111 x2
As 0.099 0.599 0.834 x2
As 0.229 0.152 0.770 x2
As 0.396 0.230 0.371 x2
O 0.009 0.198 0.656 x2
O 0.068 0.549 0.645 x2
O 0.130 0.534 0.156 x2
O 0.136 0.810 0.928 x2
O 0.210 0.938 0.699 x2
O 0.224 0.203 0.952 x2
O 0.244 0.284 0.475 x2
O 0.262 0.023 0.235 x2
O 0.323 0.531 0.918 x2
O 0.354 0.759 0.499 x2
O 0.448 0.374 0.279 x2
O 0.475 0.276 0.777 x2